Entry from Alexandria: a relaxed structure of Al2ZnNi3 (PBE-GGA). Values from VASP.

Quantum ESPRESSO input file:
```
&SYSTEM
  ibrav = 0, nat = 6, ntyp = 3
/
ATOMIC_SPECIES
Al 26.98 Al.upf
Zn 65.41 Zn.upf
Ni 58.69 Ni.upf
CELL_PARAMETERS angstrom
2.8992 0.0000 0.0000
0.0000 2.8992 0.0000
0.0000 0.0000 8.6380
ATOMIC_POSITIONS crystal
Al 0.0000 0.0000 0.1666
Al 0.0000 0.0000 0.8334
Zn 0.0000 0.0000 0.5000
Ni 0.5000 0.5000 0.0000
Ni 0.5000 0.5000 0.3272
Ni 0.5000 0.5000 0.6728
```



Entry from Alexandria: a relaxed structure of AlZnNi (PBE-GGA). Values from VASP.

Quantum ESPRESSO input file:
```
&SYSTEM
  ibrav = 0, nat = 3, ntyp = 3
/
ATOMIC_SPECIES
Al 26.98 Al.upf
Zn 65.41 Zn.upf
Ni 58.69 Ni.upf
CELL_PARAMETERS angstrom
-1.5187 1.5245 4.2035
1.5187 -1.5245 4.2035
1.5187 1.5245 -4.2035
ATOMIC_POSITIONS crystal
Al 0.0000 0.0000 0.0000
Zn 0.6869 0.6869 0.0000
Ni 0.3525 0.3525 0.0000
```



For each record above, in turn, the calculated final energy values are -4.87; -3.93 eV/atom.
For each record above, in turn, the calculated formation energy values are -0.523; -0.332 eV/atom.